[1]
VASP calculation (PBE-GGA) on a geometry-optimized BaTi4O8 structure.

abc: 6.3338 6.3338 6.3338
angles: 60.00 60.00 60.00
Last column: nearest neighbours and their distance in Å.
Fractional positions:
Ba: 0.0000 0.0000 0.0000  4 O 2.36
Ti: 0.1353 0.6216 0.6216  6 O 2.04-2.06
Ti: 0.6216 0.1353 0.6216  6 O 2.04-2.06
Ti: 0.6216 0.6216 0.1353  6 O 2.04-2.06
Ti: 0.6216 0.6216 0.6216  6 O 2.04-2.06
O: 0.3954 0.3954 0.3954  3 Ti 2.04
O: 0.3954 0.3954 0.8139  3 Ti 2.04
O: 0.3954 0.8139 0.3954  3 Ti 2.04
O: 0.4559 0.8480 0.8480  3 Ti 2.06
O: 0.8139 0.3954 0.3954  3 Ti 2.04
O: 0.8480 0.4559 0.8480  3 Ti 2.06
O: 0.8480 0.8480 0.4559  3 Ti 2.06
O: 0.8480 0.8480 0.8480  3 Ti 2.06

Properties
Total magnetization, Bohr magnetons per cell: 1.18
Relative energy among the computed polymorphs, meV per atom: 44
SG: F-43m (216)
Crystal system: cubic
Uncorrected formation energy, eV/atom: -2.77

---

[2]
VASP calculation (PBE-GGA) on a geometry-optimized BaTiO3 structure.

abc: 6.9517 6.9517 6.9517
angles: 137.64 137.64 61.45
Last column: nearest neighbours and their distance in Å.
Fractional positions:
Ba: 0.1292 0.1292 0.0000  8 O 2.70-2.90, 2 Ti 2.90
Ba: 0.8708 0.8708 0.0000  8 O 2.70-2.90, 2 Ti 2.90
Ti: 0.5000 0.5000 0.0000  4 O 2.12
Ti: 0.7500 0.2500 0.5000  4 O 1.81
O: 0.0460 0.5460 0.5000  2 Ti 2.57, 2 O 2.69, 2 Ba 2.70
O: 0.1199 0.3512 0.7686  1 Ti 1.81
O: 0.4540 0.9540 0.5000  2 Ti 2.57, 2 O 2.69, 2 Ba 2.70
O: 0.5826 0.3512 0.2314  1 Ti 1.81
O: 0.6488 0.4174 0.7686  1 Ti 1.81
O: 0.6488 0.8801 0.2314  1 Ti 1.81

Properties
Total magnetization, Bohr magnetons per cell: 0.00
SG: I-4m2 (119)
Crystal system: tetragonal
Uncorrected formation energy, eV/atom: -2.18